--- A ---
Computed, not measured: a geometry-optimized CeVOs structure at the GGA-PBE level of DFT.

a = 5.7951 Å, b = 5.7562 Å, c = 7.4614 Å
α = 90.00°, β = 107.98°, γ = 90.00°
Space group P2_1/c (No. 14)
One atom of each set of equivalent atoms:
Ce  0.0726  0.2448  0.3951
V  0.4982  0.0005  0.2896
Os  0.3574  0.7003  0.4653

## Properties
The total magnetization is 0.18 μB/cell. As for the crystal system: monoclinic. As for the density of states at the Fermi level: 1.933 states/eV per atom.

--- B ---
Computed, not measured: a geometry-optimized CeVOs structure at the GGA-PBE level of DFT.

a = 4.9566 Å, b = 5.7903 Å, c = 7.5338 Å
α = 90.00°, β = 90.00°, γ = 90.00°
Space group Imma (No. 74)
One atom of each set of equivalent atoms:
Ce  0.0000  0.2500  0.1301
V  0.2500  0.2500  0.7500
Os  0.0000  0.0000  0.5000

## Properties
The total magnetization is 0.00 μB/cell. As for the crystal system: orthorhombic. As for the density of states at the Fermi level: 1.519 states/eV per atom.

Energy comparison, zero being the most stable, in kJ/mol of atoms: A 12.6; B 0.0.